No. 1
# YV2InAg PBE-GGA relaxed
# E_form: 97.5 kJ/mol of atoms
data_YV2InAg
_chemical_formula_sum 'Y1 V2 In1 Ag1'
_cell_length_a 5.112
_cell_length_b 5.112
_cell_length_c 5.017
_cell_angle_alpha 90.00
_cell_angle_beta 90.00
_cell_angle_gamma 90.00
_space_group_name_H-M_alt 'P 4/m m m'
_space_group_IT_number 123
_space_group_name_Hall '-P 4 2'
loop_
_atom_site_label
_atom_site_fract_x
_atom_site_fract_y
_atom_site_fract_z
_atom_site_occupancy
Y1 0.000 0.000 0.000 1
V1 0.000 0.500 0.500 1
In1 0.500 0.500 0.500 1
Ag1 0.500 0.500 0.000 1

No. 2
# BaFeOs2 PBE-GGA relaxed
# E_form: 163.3 kJ/mol of atoms
# Polymorph energy (0 for the lowest one): 1.355 eV/atom
data_BaFeOs2
_chemical_formula_sum 'Ba1 Fe1 Os2'
_cell_length_a 4.767
_cell_length_b 4.767
_cell_length_c 3.342
_cell_angle_alpha 90.00
_cell_angle_beta 90.00
_cell_angle_gamma 90.00
_space_group_name_H-M_alt 'P 4/m m m'
_space_group_IT_number 123
_space_group_name_Hall '-P 4 2'
loop_
_atom_site_label
_atom_site_fract_x
_atom_site_fract_y
_atom_site_fract_z
_atom_site_occupancy
Ba1 0.000 0.000 0.000 1
Fe1 0.500 0.500 0.000 1
Os1 0.000 0.500 0.500 1

No. 3
# CrIn2Sb PBE-GGA relaxed
# Formation energy (no corrections): 0.297 eV per atom
data_CrIn2Sb
_chemical_formula_sum 'Cr1 In2 Sb1'
_cell_length_a 4.315
_cell_length_b 4.315
_cell_length_c 5.107
_cell_angle_alpha 90.00
_cell_angle_beta 90.00
_cell_angle_gamma 90.00
_space_group_name_H-M_alt 'P 4/m m m'
_space_group_IT_number 123
_space_group_name_Hall '-P 4 2'
loop_
_atom_site_label
_atom_site_fract_x
_atom_site_fract_y
_atom_site_fract_z
_atom_site_occupancy
Cr1 0.000 0.000 0.000 1
In1 0.000 0.500 0.500 1
Sb1 0.500 0.500 0.000 1

No. 4
# In6GePd12 PBE-GGA relaxed
# E_form: -26.1 kJ/mol of atoms
data_In6GePd12
_chemical_formula_sum 'In18 Ge3 Pd36'
_cell_length_a 11.1731
_cell_length_b 11.1731
_cell_length_c 10.2957
_cell_angle_alpha 90.00
_cell_angle_beta 90.00
_cell_angle_gamma 120.00
_space_group_name_H-M_alt 'R -3'
_space_group_IT_number 148
_space_group_name_Hall '-R 3'
loop_
_atom_site_label
_atom_site_fract_x
_atom_site_fract_y
_atom_site_fract_z
_atom_site_occupancy
In1 0.0519 0.8587 0.1960 1
Ge1 0.0000 0.0000 0.5000 1
Pd1 0.0308 0.7915 0.4480 1
Pd2 0.0700 0.8109 0.9344 1

No. 5
# Cu8Pd6Pt PBE-GGA relaxed
# E_form: 13.5 kJ/mol of atoms
data_Cu8Pd6Pt
_chemical_formula_sum 'Cu8 Pd6 Pt1'
_cell_length_a 9.7765
_cell_length_b 9.7765
_cell_length_c 2.7071
_cell_angle_alpha 90.00
_cell_angle_beta 90.00
_cell_angle_gamma 120.00
_space_group_name_H-M_alt 'P -3'
_space_group_IT_number 147
loop_
_space_group_symop_operation_xyz
'x,y,z'
'-x,-y,-z'
'-y,x-y,z'
'y,-x+y,-z'
'-x+y,-x,z'
'x-y,x,-z'
loop_
_atom_site_label
_atom_site_fract_x
_atom_site_fract_y
_atom_site_fract_z
_atom_site_occupancy
Cu1 0.0703 0.7952 0.3016 1
Cu2 0.3333 0.6667 0.7308 1
Pd1 0.0982 0.4654 0.2326 1
Pt1 0.0000 0.0000 0.0000 1

No. 6
# Li4LaTl5 PBE-GGA relaxed
# E_form: -25.1 kJ/mol of atoms
data_Li4LaTl5
_chemical_formula_sum 'Li4 La1 Tl5'
_cell_length_a 3.587
_cell_length_b 3.587
_cell_length_c 17.968
_cell_angle_alpha 90.00
_cell_angle_beta 90.00
_cell_angle_gamma 90.00
_space_group_name_H-M_alt 'P 4/m m m'
_space_group_IT_number 123
_space_group_name_Hall '-P 4 2'
loop_
_atom_site_label
_atom_site_fract_x
_atom_site_fract_y
_atom_site_fract_z
_atom_site_occupancy
Li1 0.000 0.000 0.095 1
Li2 0.000 0.000 0.281 1
La1 0.000 0.000 0.500 1
Tl1 0.500 0.500 0.000 1
Tl2 0.500 0.500 0.189 1
Tl3 0.500 0.500 0.371 1

No. 7
# La2GaSn4 PBE-GGA relaxed
# E_form: -19.3 kJ/mol of atoms
# Polymorph energy (0 for the lowest one): 0.340 eV/atom
data_La2GaSn4
_chemical_formula_sum 'La4 Ga2 Sn8'
_cell_length_a 5.305
_cell_length_b 5.305
_cell_length_c 15.901
_cell_angle_alpha 90.00
_cell_angle_beta 90.00
_cell_angle_gamma 90.00
_space_group_name_H-M_alt 'I 4/m m m'
_space_group_IT_number 139
_space_group_name_Hall '-I 4 2'
loop_
_atom_site_label
_atom_site_fract_x
_atom_site_fract_y
_atom_site_fract_z
_atom_site_occupancy
La1 0.000 0.000 0.131 1
Ga1 0.000 0.000 0.500 1
Sn1 0.000 0.000 0.333 1
Sn2 0.000 0.500 0.000 1

No. 8
# Ho3InAu2 PBE-GGA relaxed
# E_form: -71.4 kJ/mol of atoms
data_Ho3InAu2
_chemical_formula_sum 'Ho3 In1 Au2'
_cell_length_a 3.576
_cell_length_b 3.576
_cell_length_c 11.328
_cell_angle_alpha 90.00
_cell_angle_beta 90.00
_cell_angle_gamma 90.00
_space_group_name_H-M_alt 'P 4/m m m'
_space_group_IT_number 123
_space_group_name_Hall '-P 4 2'
loop_
_atom_site_label
_atom_site_fract_x
_atom_site_fract_y
_atom_site_fract_z
_atom_site_occupancy
Ho1 0.000 0.000 0.000 1
Ho2 0.000 0.000 0.316 1
In1 0.500 0.500 0.500 1
Au1 0.500 0.500 0.163 1

No. 9
# Ac3Nd2Mg2 PBE-GGA relaxed
# E_form: 6.7 kJ/mol of atoms
data_Ac3Nd2Mg2
_chemical_formula_sum 'Ac6 Nd4 Mg4'
_cell_length_a 5.493
_cell_length_b 25.025
_cell_length_c 3.755
_cell_angle_alpha 90.00
_cell_angle_beta 90.00
_cell_angle_gamma 90.00
_space_group_name_H-M_alt 'C m m m'
_space_group_IT_number 65
_space_group_name_Hall '-C 2 2'
loop_
_atom_site_label
_atom_site_fract_x
_atom_site_fract_y
_atom_site_fract_z
_atom_site_occupancy
Ac1 0.000 0.000 0.000 1
Ac2 0.000 0.148 0.000 1
Nd1 0.000 0.286 0.500 1
Mg1 0.000 0.429 0.500 1

No. 10
# KBCl3 PBE-GGA relaxed
# Polymorph energy (0 for the lowest one): 1.897 eV/atom
# Formation energy (no corrections): 0.593 eV per atom
data_KBCl3
_chemical_formula_sum 'K1 B1 Cl3'
_cell_length_a 5.820
_cell_length_b 5.820
_cell_length_c 5.820
_cell_angle_alpha 90.00
_cell_angle_beta 90.00
_cell_angle_gamma 90.00
_space_group_name_H-M_alt 'P m -3 m'
_space_group_IT_number 221
_space_group_name_Hall '-P 4 2 3'
loop_
_atom_site_label
_atom_site_fract_x
_atom_site_fract_y
_atom_site_fract_z
_atom_site_occupancy
K1 0.000 0.000 0.000 1
B1 0.500 0.500 0.500 1
Cl1 0.000 0.000 0.500 1

No. 11
# LaNd2RuN4 PBE-GGA relaxed
# Formation energy (no corrections): -0.870 eV per atom
data_LaNd2RuN4
_chemical_formula_sum 'La4 Nd8 Ru4 N16'
_cell_length_a 3.535
_cell_length_b 12.104
_cell_length_c 12.117
_cell_angle_alpha 90.00
_cell_angle_beta 90.00
_cell_angle_gamma 90.00
_space_group_name_H-M_alt 'C m c m'
_space_group_IT_number 63
_space_group_name_Hall '-C 2c 2'
loop_
_atom_site_label
_atom_site_fract_x
_atom_site_fract_y
_atom_site_fract_z
_atom_site_occupancy
La1 0.000 0.118 0.250 1
Nd1 0.000 0.368 0.043 1
Ru1 0.000 0.151 0.750 1
N1 0.000 0.000 0.000 1
N2 0.000 0.272 0.634 1
N3 0.000 0.428 0.250 1

No. 12
# Ba2LaYSe4 PBE-GGA relaxed
# Formation energy (no corrections): -1.933 eV per atom
data_Ba2LaYSe4
_chemical_formula_sum 'Ba2 La1 Y1 Se4'
_cell_length_a 7.585
_cell_length_b 4.383
_cell_length_c 7.839
_cell_angle_alpha 90.00
_cell_angle_beta 108.82
_cell_angle_gamma 90.00
_space_group_name_H-M_alt 'P 1 2/m 1'
_space_group_IT_number 10
loop_
_space_group_symop_operation_xyz
'x,y,z'
'-x,-y,-z'
'-x,y,-z'
'x,-y,z'
loop_
_atom_site_label
_atom_site_fract_x
_atom_site_fract_y
_atom_site_fract_z
_atom_site_occupancy
Ba1 0.000 0.000 0.000 1
Ba2 0.500 0.500 0.000 1
La1 0.000 0.500 0.500 1
Y1 0.500 0.000 0.500 1
Se1 0.250 0.000 0.721 1
Se2 0.270 0.500 0.284 1

No. 13
# Ho5Os2Au PBE-GGA relaxed
# E_form: -43.0 kJ/mol of atoms
data_Ho5Os2Au
_chemical_formula_sum 'Ho20 Os8 Au4'
_cell_length_a 7.674
_cell_length_b 7.674
_cell_length_c 13.124
_cell_angle_alpha 90.00
_cell_angle_beta 90.00
_cell_angle_gamma 90.00
_space_group_name_H-M_alt 'I 4/m c m'
_space_group_IT_number 140
_space_group_name_Hall '-I 4 2c'
loop_
_atom_site_label
_atom_site_fract_x
_atom_site_fract_y
_atom_site_fract_z
_atom_site_occupancy
Ho1 0.000 0.000 0.000 1
Ho2 0.160 0.340 0.135 1
Os1 0.140 0.360 0.500 1
Au1 0.000 0.000 0.250 1

No. 14
# KInGa PBE-GGA relaxed
# E_form: -5.2 kJ/mol of atoms
# Polymorph energy (0 for the lowest one): 0.057 eV/atom
data_KInGa
_chemical_formula_sum 'K2 In2 Ga2'
_cell_length_a 6.568
_cell_length_b 4.347
_cell_length_c 6.936
_cell_angle_alpha 90.00
_cell_angle_beta 95.33
_cell_angle_gamma 90.00
_space_group_name_H-M_alt 'P 1 21/m 1'
_space_group_IT_number 11
loop_
_space_group_symop_operation_xyz
'x,y,z'
'-x,-y,-z'
'-x,y+1/2,-z'
'x,-y+1/2,z'
loop_
_atom_site_label
_atom_site_fract_x
_atom_site_fract_y
_atom_site_fract_z
_atom_site_occupancy
K1 0.075 0.250 0.250 1
In1 0.408 0.250 0.836 1
Ga1 0.405 0.750 0.548 1

No. 15
# Ac2Nd3Tl3 PBE-GGA relaxed
# E_form: -22.0 kJ/mol of atoms
data_Ac2Nd3Tl3
_chemical_formula_sum 'Ac4 Nd6 Tl6'
_cell_length_a 4.012
_cell_length_b 5.647
_cell_length_c 23.971
_cell_angle_alpha 90.00
_cell_angle_beta 90.00
_cell_angle_gamma 90.00
_space_group_name_H-M_alt 'I m m m'
_space_group_IT_number 71
_space_group_name_Hall '-I 2 2'
loop_
_atom_site_label
_atom_site_fract_x
_atom_site_fract_y
_atom_site_fract_z
_atom_site_occupancy
Ac1 0.000 0.000 0.228 1
Nd1 0.000 0.000 0.000 1
Nd2 0.000 0.500 0.117 1
Tl1 0.000 0.000 0.500 1
Tl2 0.000 0.500 0.389 1

No. 16
# Ce4Si3SbRh12 PBE-GGA relaxed
# Formation energy (no corrections): -0.428 eV per atom
data_Ce4Si3SbRh12
_chemical_formula_sum 'Ce8 Si6 Sb2 Rh24'
_cell_length_a 9.181
_cell_length_b 9.181
_cell_length_c 9.181
_cell_angle_alpha 90.00
_cell_angle_beta 90.00
_cell_angle_gamma 90.00
_space_group_name_H-M_alt 'I m -3 m'
_space_group_IT_number 229
_space_group_name_Hall '-I 4 2 3'
loop_
_atom_site_label
_atom_site_fract_x
_atom_site_fract_y
_atom_site_fract_z
_atom_site_occupancy
Ce1 0.250 0.250 0.250 1
Si1 0.000 0.000 0.500 1
Sb1 0.000 0.000 0.000 1
Rh1 0.000 0.000 0.264 1
Rh2 0.000 0.250 0.500 1

No. 17
# CuPbCl2 PBE-GGA relaxed
# Polymorph energy (0 for the lowest one): 0.485 eV/atom
# Formation energy (no corrections): -0.017 eV per atom
data_CuPbCl2
_chemical_formula_sum 'Cu4 Pb4 Cl8'
_cell_length_a 7.106
_cell_length_b 7.106
_cell_length_c 7.106
_cell_angle_alpha 90.00
_cell_angle_beta 90.00
_cell_angle_gamma 90.00
_space_group_name_H-M_alt 'F -4 3 m'
_space_group_IT_number 216
_space_group_name_Hall 'F -4 2 3'
loop_
_atom_site_label
_atom_site_fract_x
_atom_site_fract_y
_atom_site_fract_z
_atom_site_occupancy
Cu1 0.000 0.000 0.000 1
Pb1 0.250 0.250 0.250 1
Cl1 0.000 0.000 0.500 1
Cl2 0.250 0.250 0.750 1

No. 18
The following is a PBE-GGA calculation of an optimized crystal structure of InHPd6, from Alexandria via LeMat-Bulk.

```
data_InHPd6
_chemical_formula_sum 'In3 H3 Pd18'
_cell_length_a 7.6288
_cell_length_b 7.6288
_cell_length_c 7.0873
_cell_angle_alpha 90.00
_cell_angle_beta 90.00
_cell_angle_gamma 120.00
_space_group_name_H-M_alt 'R -3 m'
_space_group_IT_number 166
_space_group_name_Hall '-R 3 2"'
loop_
_atom_site_label
_atom_site_fract_x
_atom_site_fract_y
_atom_site_fract_z
_atom_site_occupancy
In1 0.0000 0.0000 0.0000 1
H1 0.0000 0.0000 0.5000 1
Pd1 0.0878 0.5439 0.3280 1
```

No. 19
# HfIrO2 PBE-GGA relaxed
# Polymorph energy (0 for the lowest one): 0.345 eV/atom
# Formation energy (no corrections): -1.359 eV per atom
data_HfIrO2
_chemical_formula_sum 'Hf4 Ir4 O8'
_cell_length_a 4.020
_cell_length_b 4.020
_cell_length_c 12.925
_cell_angle_alpha 90.00
_cell_angle_beta 90.00
_cell_angle_gamma 90.00
_space_group_name_H-M_alt 'I -4 2 d'
_space_group_IT_number 122
_space_group_name_Hall 'I -4 2bw'
loop_
_atom_site_label
_atom_site_fract_x
_atom_site_fract_y
_atom_site_fract_z
_atom_site_occupancy
Hf1 0.000 0.000 0.000 1
Ir1 0.000 0.000 0.500 1
O1 0.236 0.250 0.125 1

No. 20
# SrMg2ZnF8 PBE-GGA relaxed
# Formation energy (no corrections): -3.268 eV per atom
data_SrMg2ZnF8
_chemical_formula_sum 'Sr1 Mg2 Zn1 F8'
_cell_length_a 4.959
_cell_length_b 6.588
_cell_length_c 4.961
_cell_angle_alpha 90.00
_cell_angle_beta 91.69
_cell_angle_gamma 90.00
_space_group_name_H-M_alt 'P 1 2/m 1'
_space_group_IT_number 10
loop_
_space_group_symop_operation_xyz
'x,y,z'
'-x,-y,-z'
'-x,y,-z'
'x,-y,z'
loop_
_atom_site_label
_atom_site_fract_x
_atom_site_fract_y
_atom_site_fract_z
_atom_site_occupancy
Sr1 0.000 0.000 0.000 1
Mg1 0.500 0.264 0.500 1
Zn1 0.000 0.500 0.000 1
F1 0.214 0.283 0.210 1
F2 0.304 0.500 0.693 1
F3 0.328 0.000 0.664 1

no.,final energy (eV/atom)
1,-5.048
2,-6.518
3,-4.508
4,-4.658
5,-4.525
6,-2.702
7,-4.327
8,-4.577
9,-3.509
10,-2.070
11,-8.000
12,-5.580
13,-6.524
14,-2.341
15,-3.930
16,-7.045
17,-2.892
18,-4.796
19,-8.542
20,-5.027